[1]
The following is a DFT calculation (GGA-PBE) of an optimized crystal structure of BaZn2Tc.

- calculated volume (Å³ per atom) = 21.10
- crystal system = orthorhombic
- space-group type = Pmmm (47)
- formation enthalpy at 0 K (eV/f.u.) = 1.1
- energy above the lowest structure with this stoichiometry (eV per atom) = 0.0587

Cell: 3.414 3.429 7.984 Å, 64.57 90.00 90.00°
Positions (direct):
Zn: 0.000 0.418 0.582
Zn: 0.000 0.082 0.918
Ba: 0.500 0.250 0.250
Tc: 0.500 0.750 0.750

[2]
The following is a DFT calculation (GGA-PBE) of an optimized crystal structure of BaZn2Tc.

- calculated volume (Å³ per atom) = 23.33
- crystal system = monoclinic
- space-group type = Pm (6)
- formation enthalpy at 0 K (eV/f.u.) = 1.4
- energy above the lowest structure with this stoichiometry (eV per atom) = 0.1227

Cell: 3.953 3.391 6.988 Å, 84.95 90.00 90.00°
Positions (direct):
Zn: 0.500 0.117 0.178
Zn: 0.000 0.162 0.932
Tc: 0.500 0.681 0.890
Ba: 0.000 0.539 0.501

[3]
The following is a DFT calculation (GGA-PBE) of an optimized crystal structure of BaZn2Tc.

- calculated volume (Å³ per atom) = 20.44
- crystal system = monoclinic
- space-group type = C2/m (12)
- formation enthalpy at 0 K (eV/f.u.) = 2.7
- energy above the lowest structure with this stoichiometry (eV per atom) = 0.4484

Cell: 7.224 5.273 3.015 Å, 89.89 65.51 124.51°
Positions (direct):
Ba: 0.000 0.500 0.500
Zn: 0.500 0.000 0.500
Zn: 0.000 0.000 0.000
Tc: 0.500 0.500 0.000

[4]
The following is a DFT calculation (GGA-PBE) of an optimized crystal structure of Ba2ZrTc.

- calculated volume (Å³ per atom) = 28.12
- crystal system = tetragonal
- space-group type = P4/mmm (123)
- formation enthalpy at 0 K (eV/f.u.) = 3.9
- energy above the lowest structure with this stoichiometry (eV per atom) = 0.6298

Cell: 4.437 4.437 5.712 Å, 90.00 90.00 90.00°
Positions (direct):
Ba: 0.500 0.500 0.000
Ba: 0.000 0.000 0.000
Tc: 0.500 0.000 0.500
Zr: 0.000 0.500 0.500

[5]
The following is a DFT calculation (GGA-PBE) of an optimized crystal structure of BaZr2Tc.

- calculated volume (Å³ per atom) = 26.53
- crystal system = monoclinic
- space-group type = P2/m (10)
- formation enthalpy at 0 K (eV/f.u.) = 0.4
- energy above the lowest structure with this stoichiometry (eV per atom) = 0.0000

Cell: 3.352 3.351 10.015 Å, 70.64 90.00 90.00°
Positions (direct):
Zr: 0.000 0.089 0.913
Zr: 0.000 0.411 0.587
Ba: 0.500 0.250 0.250
Tc: 0.500 0.750 0.750

[6]
The following is a DFT calculation (GGA-PBE) of an optimized crystal structure of BaZrTc3.

- calculated volume (Å³ per atom) = 23.35
- crystal system = cubic
- space-group type = Pm-3m (221)
- formation enthalpy at 0 K (eV/f.u.) = 12.8
- energy above the lowest structure with this stoichiometry (eV per atom) = 1.1286

Cell: 4.888 4.888 4.888 Å, 90.00 90.00 90.00°
Positions (direct):
Tc: 0.000 0.500 0.000
Tc: 0.500 0.000 0.000
Tc: 0.000 0.000 0.500
Ba: 0.000 0.000 0.000
Zr: 0.500 0.500 0.500

[7]
The following is a DFT calculation (GGA-PBE) of an optimized crystal structure of BaZrTc2.

- calculated volume (Å³ per atom) = 20.84
- crystal system = cubic
- space-group type = Fm-3m (225)
- formation enthalpy at 0 K (eV/f.u.) = 3.3
- energy above the lowest structure with this stoichiometry (eV per atom) = 0.4968

Cell: 4.903 4.903 4.903 Å, 60.00 60.00 60.00°
Positions (direct):
Ba: 0.500 0.500 0.500
Tc: 0.750 0.750 0.750
Tc: 0.250 0.250 0.250
Zr: 0.000 0.000 0.000

[8]
The following is a DFT calculation (GGA-PBE) of an optimized crystal structure of Ba2ZrTc.

- calculated volume (Å³ per atom) = 28.61
- crystal system = cubic
- space-group type = Fm-3m (225)
- formation enthalpy at 0 K (eV/f.u.) = 4.9
- energy above the lowest structure with this stoichiometry (eV per atom) = 0.8958

Cell: 5.450 5.450 5.450 Å, 60.00 60.00 60.00°
Positions (direct):
Zr: 0.000 0.000 0.000
Ba: 0.250 0.250 0.250
Ba: 0.750 0.750 0.750
Tc: 0.500 0.500 0.500

[9]
The following is a DFT calculation (GGA-PBE) of an optimized crystal structure of BaZrTc2.

- calculated volume (Å³ per atom) = 21.04
- crystal system = orthorhombic
- space-group type = Cmmm (65)
- formation enthalpy at 0 K (eV/f.u.) = 2.6
- energy above the lowest structure with this stoichiometry (eV per atom) = 0.3353

Cell: 3.095 3.095 9.545 Å, 90.00 90.00 112.99°
Positions (direct):
Tc: 0.000 0.000 0.032
Tc: 0.000 0.000 0.468
Zr: 0.500 0.500 0.250
Ba: 0.500 0.500 0.750

[10]
The following is a DFT calculation (GGA-PBE) of an optimized crystal structure of BaZrTc2.

- calculated volume (Å³ per atom) = 24.62
- crystal system = tetragonal
- space-group type = P4/mmm (123)
- formation enthalpy at 0 K (eV/f.u.) = 1.8
- energy above the lowest structure with this stoichiometry (eV per atom) = 0.1416

Cell: 3.577 3.585 7.679 Å, 90.00 90.00 90.00°
Positions (direct):
Ba: 0.500 0.500 0.750
Tc: 0.000 0.000 0.407
Tc: 0.000 0.000 0.093
Zr: 0.500 0.500 0.250

[11]
The following is a DFT calculation (GGA-PBE) of an optimized crystal structure of BaZrTc2.

- calculated volume (Å³ per atom) = 28.26
- crystal system = orthorhombic
- space-group type = Imm2 (44)
- formation enthalpy at 0 K (eV/f.u.) = 1.9
- energy above the lowest structure with this stoichiometry (eV per atom) = 0.1670

Cell: 7.081 7.081 7.081 Å, 148.75 141.93 50.04°
Positions (direct):
Zr: 0.473 0.473 0.000
Ba: 0.213 0.713 0.500
Tc: 0.855 0.355 0.500
Tc: 0.959 0.959 0.000

[12]
The following is a DFT calculation (GGA-PBE) of an optimized crystal structure of BaZrTc2.

- calculated volume (Å³ per atom) = 21.65
- crystal system = trigonal
- space-group type = R-3m (166)
- formation enthalpy at 0 K (eV/f.u.) = 2.9
- energy above the lowest structure with this stoichiometry (eV per atom) = 0.4117

Cell: 9.502 9.502 9.502 Å, 19.86 19.86 19.86°
Positions (direct):
Zr: 0.250 0.250 0.250
Tc: 0.988 0.988 0.988
Tc: 0.512 0.512 0.512
Ba: 0.750 0.750 0.750